A plane-wave DFT calculation with PBE with a Hubbard U was carried out for an optimized crystal structure of Dy2AlNiO6.

```
data_Dy2AlNiO6
_cell_length_a 5.232
_cell_length_b 5.549
_cell_length_c 9.086
_cell_angle_alpha 90.00
_cell_angle_beta 124.88
_cell_angle_gamma 90.00
_space_group_name_H-M_alt 'P 1 21/c 1'
_space_group_IT_number 14
_space_group_name_Hall '-P 2ybc'
loop_
_atom_site_label
_atom_site_type_symbol
_atom_site_fract_x
_atom_site_fract_y
_atom_site_fract_z
_atom_site_occupancy
Dy1 Dy 0.231 0.068 0.249 1
Al1 Al 0.500 0.000 0.000 1
Ni1 Ni 0.000 0.000 0.500 1
O1 O 0.156 0.189 0.949 1
O2 O 0.256 0.703 0.948 1
O3 O 0.354 0.030 0.754 1
```

E = -7.2241 eV per atom
calculated density = 7.78 g/cm3